[1]
A geometry-optimized PrTmAu2 structure. Source: Alexandria, functional GGA-PBE.

Structure (POSCAR):
```
PrTmAu2
1.0
-1.706 2.803 -1.473
-2.193 0.162 2.847
4.745 4.670 3.389
Pr Tm Au
1 1 2
Direct
0.500 0.500 0.500
0.500 0.500 0.000
0.000 0.000 0.779
0.000 0.000 0.221
```

SG	P4/mmm
N(E_F)	1.84	states/eV/f.u.
crystal system	tetragonal
size of the total moment	0.00	μB/f.u.
DFT formation energy	-80	kJ/mol of atoms
offset from the most stable computed form	0.000	eV/atom

=====

[2]
A geometry-optimized PHF6 structure. Source: Alexandria, functional GGA-PBE.

Structure (POSCAR):
```
PHF6
1.0
-4.010 -2.204 1.620
-0.302 -0.391 4.888
-4.895 2.014 4.214
P H F
1 1 6
Direct
0.000 0.000 0.000
0.500 0.500 0.500
0.210 0.423 0.737
0.911 0.098 0.773
0.613 0.158 0.179
0.089 0.902 0.227
0.790 0.577 0.263
0.387 0.842 0.821
```

SG	P-1
N(E_F)	0.00	states/eV/f.u.
DFT total energy	-4.75	eV per atom
crystal system	triclinic
size of the total moment	0.00	μB/f.u.